# 1
6
Lattice="5.396 0.000 0.000 -2.698 4.673 0.000 0.000 0.000 4.250" Properties=species:S:1:pos:R:3 comment="SCAN LaGa3Pd2, PBEsol geometry" dft_energy_ev_per_atom=-27.13 dos_ef_per_ev_cell=2.3 space_group=P6/mmm delta_e_f_ev_per_atom=-0.850 pbc="T T T"
La 0.000 0.000 0.000
Ga -1.349 2.337 2.125
Ga 2.698 0.000 2.125
Ga 1.349 2.337 2.125
Pd 0.000 3.115 0.000
Pd 2.698 1.558 0.000

=====

# 2
30
Lattice="5.610 0.000 0.000 -2.805 4.858 0.000 0.000 0.000 14.683" Properties=species:S:1:pos:R:3 comment="SCAN Ca4Ta2O9, PBEsol geometry" dft_energy_ev_per_atom=-18.51 dos_ef_per_ev_cell=0.0 de_polymorph_mev_per_atom=16 space_group=P-3c1 formation_energy_uncorrected_ev_per_atom=-3.3181 pbc="T T T"
Ca 0.000 3.239 0.364
Ca 0.000 3.239 4.484
Ca 0.000 3.239 7.706
Ca 0.000 3.239 11.825
Ca 2.805 1.619 2.858
Ca 2.805 1.619 6.978
Ca 2.805 1.619 10.200
Ca 2.805 1.619 14.319
Ta 0.000 0.000 2.148
Ta 0.000 0.000 5.193
Ta 0.000 0.000 9.490
Ta 0.000 0.000 12.535
O -0.736 1.274 3.671
O -2.069 3.584 11.012
O -0.681 1.580 13.382
O -1.777 3.478 6.041
O 1.471 0.000 3.671
O 0.736 1.274 11.012
O 0.681 1.580 6.041
O -1.096 4.658 13.382
O 1.709 0.200 8.643
O 1.028 1.380 1.301
O 1.777 3.478 13.382
O 1.096 4.658 6.041
O 3.901 0.200 1.301
O 2.124 3.278 8.643
O 4.139 0.000 11.012
O 2.069 3.584 3.671
O 4.582 1.380 8.643
O 3.486 3.278 1.301